No. 1
This record from Alexandria via LeMat-Bulk describes MgAlBi2 after structural relaxation. The functional is GGA-PBEsol.

Lattice parameters (Å, degrees): 5.2153 5.2153 5.2153 60.00 60.00 60.00
With the nearest neighbours (Å) after each atom.
Positions (direct):
Mg 0.0000 0.0000 0.0000  8 Bi 3.19
Bi 0.2500 0.2500 0.2500  4 Mg 3.19, 4 Al 3.19
Bi 0.7500 0.7500 0.7500  4 Al 3.19, 4 Mg 3.19
Al 0.5000 0.5000 0.5000  8 Bi 3.19

raw total energy = -3.50 eV/atom
formation energy = 0.093 eV/atom



No. 2
This record from Alexandria via LeMat-Bulk describes MnAlBi3 after structural relaxation. The functional is GGA-PBEsol.

Lattice parameters (Å, degrees): 5.3572 5.3572 5.3572 90.00 90.00 90.00
With the nearest neighbours (Å) after each atom.
Positions (direct):
Mn 0.5000 0.5000 0.5000  12 Bi 3.79
Bi 0.0000 0.5000 0.0000  2 Al 2.68
Bi 0.0000 0.0000 0.5000  2 Al 2.68
Bi 0.5000 0.0000 0.0000  2 Al 2.68
Al 0.0000 0.0000 0.0000  6 Bi 2.68

raw total energy = -4.39 eV/atom
formation energy = 0.956 eV/atom



No. 3
This record from Alexandria via LeMat-Bulk describes MnAlBiO5 after structural relaxation. The functional is GGA-PBEsol.

Lattice parameters (Å, degrees): 5.6596 7.3544 8.4623 90.00 90.00 90.00
With the nearest neighbours (Å) after each atom.
Positions (direct):
Mn 0.2443 0.0000 0.5000  6 O 1.89-1.90
Mn 0.7557 0.0000 0.5000  6 O 1.89-1.90
Mn 0.7557 0.5000 0.0000  6 O 1.89-1.90
Mn 0.2443 0.5000 0.0000  6 O 1.89-1.90
Al 0.0000 0.1112 0.1422  5 O 1.82-1.88
Al 0.0000 0.8888 0.8578  5 O 1.82-1.88
Al 0.0000 0.3888 0.6422  5 O 1.82-1.88
Al 0.0000 0.6112 0.3578  5 O 1.82-1.88
Bi 0.5000 0.3610 0.3329  8 O 2.38-2.54
Bi 0.5000 0.6390 0.6671  8 O 2.38-2.54
Bi 0.5000 0.1390 0.8329  8 O 2.38-2.54
Bi 0.5000 0.8610 0.1671  8 O 2.38-2.54
O 0.0000 0.3440 0.0689  1 Al 1.82, 2 Mn 1.89
O 0.0000 0.6560 0.9311  1 Al 1.82, 2 Mn 1.89
O 0.0000 0.1560 0.5689  1 Al 1.82, 2 Mn 1.89
O 0.0000 0.8440 0.4311  1 Al 1.82, 2 Mn 1.89
O 0.2116 0.0000 0.0000  2 Al 1.88
O 0.7884 0.0000 0.0000  2 Al 1.88
O 0.7884 0.5000 0.5000  2 Al 1.88
O 0.2116 0.5000 0.5000  2 Al 1.88
O 0.2411 0.1033 0.2939  1 Al 1.87, 1 Mn 1.90
O 0.7589 0.8967 0.7061  1 Al 1.87, 1 Mn 1.90
O 0.2411 0.8967 0.7061  1 Al 1.87, 1 Mn 1.90
O 0.7589 0.3967 0.7939  1 Al 1.87, 1 Mn 1.90
O 0.7589 0.1033 0.2939  1 Al 1.87, 1 Mn 1.90
O 0.2411 0.6033 0.2061  1 Al 1.87, 1 Mn 1.90
O 0.7589 0.6033 0.2061  1 Al 1.87, 1 Mn 1.90
O 0.2411 0.3967 0.7939  1 Al 1.87, 1 Mn 1.90
O 0.5000 0.3429 0.0523  2 Mn 1.90
O 0.5000 0.6571 0.9477  2 Mn 1.90
O 0.5000 0.1571 0.5523  2 Mn 1.90
O 0.5000 0.8429 0.4477  2 Mn 1.90

energy relative to the elements, uncorrected = -1.996 eV per atom
raw total energy = -7.54 eV/atom



No. 4
This record from Alexandria via LeMat-Bulk describes MnAlBiSb2 after structural relaxation. The functional is GGA-PBEsol.

Lattice parameters (Å, degrees): 4.8954 4.8954 5.3393 90.00 90.00 90.00
With the nearest neighbours (Å) after each atom.
Positions (direct):
Sb 0.0000 0.5000 0.0000  2 Mn 2.45
Sb 0.5000 0.0000 0.0000  2 Mn 2.45
Mn 0.0000 0.0000 0.0000  4 Sb 2.45, 2 Bi 2.67
Bi 0.0000 0.0000 0.5000  2 Mn 2.67
Al 0.5000 0.5000 0.5000  4 Bi 3.46, 8 Sb 3.62

energy relative to the elements, uncorrected = 0.512 eV per atom
raw total energy = -4.94 eV/atom



No. 5
This record from Alexandria via LeMat-Bulk describes AlBi3Mo after structural relaxation. The functional is GGA-PBEsol.

Lattice parameters (Å, degrees): 5.3293 5.3293 5.3293 90.00 90.00 90.00
With the nearest neighbours (Å) after each atom.
Positions (direct):
Mo 0.0000 0.0000 0.0000  6 Bi 2.66
Bi 0.0000 0.5000 0.0000  2 Mo 2.66
Bi 0.0000 0.0000 0.5000  2 Mo 2.66
Bi 0.5000 0.0000 0.0000  2 Mo 2.66
Al 0.5000 0.5000 0.5000  12 Bi 3.77

raw total energy = -4.99 eV/atom
formation energy = 0.758 eV/atom



No. 6
This record from Alexandria via LeMat-Bulk describes AlBi2Mo after structural relaxation. The functional is GGA-PBEsol.

Lattice parameters (Å, degrees): 6.5742 6.5742 7.5556 115.79 115.79 90.00
With the nearest neighbours (Å) after each atom.
Positions (direct):
Mo 0.2500 0.7500 0.5000  4 Bi 2.75
Mo 0.0000 0.0000 0.0000  4 Bi 2.75
Bi 0.3730 0.8750 0.2500  2 Mo 2.75, 2 Al 2.77
Bi 0.8770 0.3750 0.2500  2 Mo 2.75, 2 Al 2.77
Bi 0.1250 0.1230 0.7500  2 Mo 2.75, 2 Al 2.77
Bi 0.6250 0.6270 0.7500  2 Mo 2.75, 2 Al 2.77
Al 0.7500 0.2500 0.5000  4 Bi 2.77
Al 0.5000 0.5000 0.0000  4 Bi 2.77

raw total energy = -5.15 eV/atom
formation energy = 0.957 eV/atom



- Among the records above, which one has the highest raw total energy?
  MgAlBi2



- Look up the raw total energy of the fifth one.
  -4.99 eV/atom



- Look up the raw total energy of the second one.
  -4.39 eV/atom